! SmLuZn4 | Alexandria | PBE-GGA | relaxed; values from VASP
! * formation energy from the elements: -0.319 eV per atom
! * M_tot: 0.00 μB per formula unit
&SYSTEM
  ibrav = 0, nat = 6, ntyp = 3
/
ATOMIC_SPECIES
Zn 65.41 Zn.upf
Lu 174.97 Lu.upf
Sm 150.36 Sm.upf
CELL_PARAMETERS angstrom
-2.2084 0.6579 4.9518
2.7532 -1.5690 4.4483
2.0280 3.7455 3.4188
ATOMIC_POSITIONS angstrom
Zn 0.5930 -0.1034 6.3023
Zn 0.2299 2.5576 5.7868
Lu 0.0000 0.0000 0.0000
Zn 2.7143 1.4425 5.5347
Zn 1.6085 1.7720 8.0141
Sm 0.6432 0.7086 3.2047